Entry 1:
Entry from the Alexandria database: CaAs2Pb2 after structural relaxation (GGA-PBE).

Cell and atoms, written as POSCAR:
```
CaAs2Pb2
1.0
4.4180 0.0000 0.0000
0.0000 4.4180 0.0000
2.2090 2.2090 7.3264
Ca Pb As
1 2 2
direct
0.0000 0.0000 0.0000
0.2500 0.7500 0.5000
0.7500 0.2500 0.5000
0.5840 0.5840 0.8320
0.4160 0.4160 0.1680
```

Calculated values
- DOS(E_F) (states/eV per cell) = 2.79
- DFT total energy (eV per cell) = -20.08
- DFT formation energy (eV/atom) = -0.27

=====

Entry 2:
Entry from the Alexandria database: CaAsPb2 after structural relaxation (GGA-PBE).

Cell and atoms, written as POSCAR:
```
CaAsPb2
1.0
4.1100 0.0000 0.0000
0.0000 4.1100 0.0000
0.0000 0.0000 6.9204
Pb As Ca
2 1 1
direct
0.5000 0.5000 0.2335
0.0000 0.0000 0.9934
0.0000 0.0000 0.5811
0.5000 0.5000 0.6920
```

Calculated values
- DOS(E_F) (states/eV per cell) = 2.60
- DFT total energy (eV per cell) = -15.47
- DFT formation energy (eV/atom) = -0.35

=====

Entry 3:
Entry from the Alexandria database: CaAsPb2 after structural relaxation (GGA-PBE).

Cell and atoms, written as POSCAR:
```
CaAsPb2
1.0
-1.1987 4.7590 2.2967
0.2010 0.5350 5.3883
3.9155 2.9689 2.2836
As Ca Pb
1 1 2
direct
0.5000 0.5000 0.5000
0.7500 0.7500 0.7500
0.2500 0.2500 0.2500
0.0000 0.0000 0.0000
```

Calculated values
- DOS(E_F) (states/eV per cell) = 2.37
- DFT total energy (eV per cell) = -14.91
- DFT formation energy (eV/atom) = -0.21

=====

Entry 4:
Entry from the Alexandria database: CaAs2Pb2 after structural relaxation (GGA-PBE).

Cell and atoms, written as POSCAR:
```
CaAs2Pb2
1.0
-0.0822 -3.4736 -1.5166
1.6372 -1.4007 3.1193
-8.0556 -3.9546 4.7561
As Pb Ca
2 2 1
direct
0.2500 0.7500 0.5000
0.7500 0.2500 0.5000
0.3870 0.3870 0.2259
0.6130 0.6130 0.7741
0.0000 0.0000 0.0000
```

Calculated values
- DOS(E_F) (states/eV per cell) = 3.39
- DFT total energy (eV per cell) = -18.64
- DFT formation energy (eV/atom) = 0.01